No. 1
First-principles (PBE) data for an optimized crystal structure of TePt2Cl, as listed in the Alexandria database.

The value obtained for the energy relative to the elements, uncorrected is 0.16 eV per atom.

a b c (Å): 3.5013 3.5991 14.6361
angles (deg): 90.00 90.00 90.00
Space group Imm2 (No. 44)
Asymmetric unit:
Te 0.0000 0.0000 0.0000 [2 per cell]
Pt 0.0000 0.0000 0.4317 [2 per cell]
Pt 0.0000 0.5000 0.2922 [2 per cell]
Cl 0.0000 0.5000 0.7379 [2 per cell]


No. 2
First-principles (PBE) data for an optimized crystal structure of Tb2Nd3Ho6Er, as listed in the Alexandria database.

The calculation puts the energy relative to the elements at 0.217 eV per formula unit.

a b c (Å): 6.1874 10.7102 11.7838
angles (deg): 90.00 100.04 90.00
Space group C2/m (No. 12)
Asymmetric unit:
Tb 0.0000 0.1666 0.0000 [4 per cell]
Nd 0.0000 0.0000 0.5000 [2 per cell]
Nd 0.0000 0.3333 0.5000 [4 per cell]
Ho 0.2493 0.0000 0.2465 [4 per cell]
Ho 0.2489 0.3334 0.2464 [8 per cell]
Er 0.0000 0.5000 0.0000 [2 per cell]


No. 3
First-principles (PBE) data for an optimized crystal structure of MnSi2As, as listed in the Alexandria database.

The value obtained for the energy relative to the elements, uncorrected is 0.11 eV per atom.

a b c (Å): 2.8174 2.8174 7.0991
angles (deg): 90.00 90.00 90.00
Space group P4/mmm (No. 123)
Asymmetric unit:
Mn 0.0000 0.0000 0.0000 [1 per cell]
Si 0.5000 0.5000 0.1888 [2 per cell]
As 0.0000 0.0000 0.5000 [1 per cell]


No. 4
First-principles (PBE) data for an optimized crystal structure of RbPdRh2, as listed in the Alexandria database.

The calculation puts the energy relative to the elements at 3.380 eV per formula unit.

a b c (Å): 4.6695 4.6695 18.5807
angles (deg): 90.00 90.00 90.00
Space group I-42d (No. 122)
Asymmetric unit:
Rb 0.0000 0.0000 0.0000 [4 per cell]
Pd 0.0000 0.0000 0.5000 [4 per cell]
Rh 0.0850 0.2500 0.6250 [8 per cell]


No. 5
First-principles (PBE) data for an optimized crystal structure of PdPt6W, as listed in the Alexandria database.

The calculation puts the energy relative to the elements at -1.651 eV per formula unit.

a b c (Å): 3.9749 3.9749 7.8825
angles (deg): 90.00 90.00 90.00
Space group P4/mmm (No. 123)
Asymmetric unit:
Pd 0.0000 0.0000 0.0000 [1 per cell]
Pt 0.0000 0.5000 0.2585 [4 per cell]
Pt 0.5000 0.5000 0.0000 [1 per cell]
Pt 0.5000 0.5000 0.5000 [1 per cell]
W 0.0000 0.0000 0.5000 [1 per cell]


No. 6
First-principles (PBE) data for an optimized crystal structure of KScTiAs2, as listed in the Alexandria database.

The calculation puts the energy relative to the elements at 1.747 eV per formula unit.

a b c (Å): 5.0239 5.0239 4.9727
angles (deg): 90.00 90.00 90.00
Space group P4/mmm (No. 123)
Asymmetric unit:
K 0.0000 0.0000 0.0000 [1 per cell]
Sc 0.5000 0.5000 0.0000 [1 per cell]
Ti 0.0000 0.0000 0.5000 [1 per cell]
As 0.0000 0.5000 0.5000 [2 per cell]


No. 7
First-principles (PBE) data for an optimized crystal structure of Pm4CdAgRh2, as listed in the Alexandria database.

The calculation puts the energy relative to the elements at -3.657 eV per formula unit.

a b c (Å): 5.1529 5.1529 25.1930
angles (deg): 90.00 90.00 120.00
Space group R-3m (No. 166, hexagonal axes)
Asymmetric unit:
Pm 0.0000 0.0000 0.1229 [6 per cell]
Pm 0.0000 0.0000 0.3729 [6 per cell]
Cd 0.0000 0.0000 0.5000 [3 per cell]
Ag 0.0000 0.0000 0.0000 [3 per cell]
Rh 0.0000 0.0000 0.2482 [6 per cell]


No. 8
First-principles (PBE) data for an optimized crystal structure of La11Tb9Tm4, as listed in the Alexandria database.

The calculation puts the energy relative to the elements at 1.619 eV per formula unit.

a b c (Å): 17.2237 26.0383 3.6918
angles (deg): 90.00 90.00 90.00
Space group Cmmm (No. 65)
Asymmetric unit:
La 0.0000 0.0000 0.0000 [2 per cell]
La 0.0000 0.1603 0.0000 [4 per cell]
La 0.0000 0.3689 0.0000 [4 per cell]
La 0.2063 0.5000 0.0000 [4 per cell]
La 0.2233 0.1807 0.0000 [8 per cell]
Tb 0.0000 0.5000 0.5000 [2 per cell]
Tb 0.1016 0.2681 0.5000 [8 per cell]
Tb 0.1420 0.0724 0.5000 [8 per cell]
Tm 0.1575 0.3979 0.5000 [8 per cell]


Spin magnetization values, unit μB/f.u., following the record order: 0.0, 0.0, 0.0, 0.8, 0.0, 2.1, 0.0, 0.0.
Mass density values, unit g cm⁻³, following the record order: 9.96, 8.24, 5.48, 6.52, 19.48, 3.73, 8.65, 7.29.